12
Lattice="4.663 0.000 0.000 0.000 5.626 0.000 0.000 0.000 9.798" Properties=species:S:1:pos:R:3 comment="NaTlAu10 GGA-PBE optimized geometry" formation_energy_ev_per_atom=-0.10 spacegroup="Pmmm, No. 47" pbc="T T T"
Na 0.000 0.000 0.000
Tl 0.000 2.813 4.899
Au 0.000 0.000 3.249
Au 0.000 0.000 6.549
Au 0.000 2.813 1.634
Au 0.000 2.813 8.164
Au 2.331 0.000 4.899
Au 2.331 1.386 2.391
Au 2.331 1.386 7.407
Au 2.331 2.813 0.000
Au 2.331 4.240 2.391
Au 2.331 4.240 7.407